VASP calculation (GGA-PBE) on an optimized crystal structure of MnBeSe2.

For the total moment, the calculation gives 0.0 Bohr magnetons per cell. For the formation energy (no corrections), the calculation gives -0.57 eV/atom. Its raw total energy is -5.536 eV/atom. The space-group type is P-1 (2). Its density of states at the Fermi level is 0.0 states/eV per cell.

Structure (POSCAR):
```
MnBeSe2
1.0
3.829 0.000 0.000
-0.001 6.854 0.000
-1.835 -2.893 7.014
Mn Be Se
2 2 4
Direct
0.195 0.366 0.384
0.805 0.634 0.616
0.303 0.131 0.611
0.697 0.869 0.389
0.147 0.972 0.284
0.364 0.490 0.737
0.636 0.510 0.263
0.853 0.028 0.716
```